Entry 1:
Compound: Ce6Bi2IrC
Source: Alexandria
Functional: PBE
Structure: optimized geometry

- DOS(E_F) (states/eV per cell) = 26.23
- energy relative to the elements (kJ/mol of atoms) = -42.0
- size of the total moment (μB per cell) = 5.1
- SG = No. 123

a b c (Å): 5.2137 5.2137 10.5486
angles (deg): 90.00 90.00 90.00
With the nearest neighbours (Å) after each atom.
Sites, in units of the cell vectors:
Ce 0.5000 0.0000 0.0000  2 Ir 2.61
Ce 0.5000 0.0000 0.5000  2 C 2.61
Ce 0.0000 0.5000 0.0000  2 Ir 2.61
Ce 0.0000 0.5000 0.5000  2 C 2.61
Ce 0.5000 0.5000 0.7265  1 C 2.39
Ce 0.5000 0.5000 0.2735  1 C 2.39
Bi 0.0000 0.0000 0.7408  12 Ce 3.64-3.78
Bi 0.0000 0.0000 0.2592  12 Ce 3.64-3.78
Ir 0.5000 0.5000 0.0000  6 Ce 2.61-2.88
C 0.5000 0.5000 0.5000  6 Ce 2.39-2.61

---

Entry 2:
Compound: Ca3HgBi2
Source: Alexandria
Functional: PBE
Structure: optimized geometry

- DOS(E_F) (states/eV per cell) = 0.91
- energy relative to the elements (kJ/mol of atoms) = -72.1
- size of the total moment (μB per cell) = 0.0
- distance to the lowest polymorph of the same formula (meV/atom) = 0
- SG = No. 164

a b c (Å): 5.4222 5.4222 14.4908
angles (deg): 90.00 90.00 120.00
With the nearest neighbours (Å) after each atom.
Sites, in units of the cell vectors:
Ca 0.3333 0.6667 0.4240  4 Bi 3.32, 4 Hg 3.39-3.50
Ca 0.6667 0.3333 0.0818  6 Bi 3.35-3.53, 1 Hg 3.66
Ca 0.0000 0.0000 0.7475  4 Bi 3.24-3.59, 3 Hg 3.35
Ca 0.0000 0.0000 0.2525  4 Bi 3.24-3.59, 3 Hg 3.35
Ca 0.3333 0.6667 0.9182  6 Bi 3.35-3.53, 1 Hg 3.66
Ca 0.6667 0.3333 0.5760  4 Bi 3.32, 4 Hg 3.39-3.50
Hg 0.3333 0.6667 0.6656  8 Ca 3.35-3.66, 3 Bi 3.73
Hg 0.6667 0.3333 0.3344  8 Ca 3.35-3.66, 3 Bi 3.73
Bi 0.0000 0.0000 0.5000  8 Ca 3.32-3.59
Bi 0.3333 0.6667 0.1948  7 Ca 3.24-3.53
Bi 0.6667 0.3333 0.8052  7 Ca 3.24-3.53
Bi 0.0000 0.0000 0.0000  8 Ca 3.35-3.66

---

Entry 3:
Compound: SrCa2Ag2Pb2
Source: Alexandria
Functional: PBE
Structure: optimized geometry

- DOS(E_F) (states/eV per cell) = 1.37
- energy relative to the elements (kJ/mol of atoms) = -37.2
- size of the total moment (μB per cell) = 0.0
- SG = No. 166

a b c (Å): 5.0414 5.0414 10.0209
angles (deg): 75.43 75.43 60.00
With the nearest neighbours (Å) after each atom.
Sites, in units of the cell vectors:
Sr 0.0000 0.0000 0.0000  6 Ag 3.62, 2 Ca 3.69, 6 Pb 3.72
Ca 0.1283 0.1283 0.6152  4 Pb 3.22-3.58, 3 Ag 3.29
Ca 0.8717 0.8717 0.3848  4 Pb 3.22-3.58, 3 Ag 3.29
Ag 0.5921 0.5921 0.2238  3 Pb 2.92
Ag 0.4079 0.4079 0.7762  3 Pb 2.92
Pb 0.7472 0.7472 0.7585  3 Ag 2.92, 3 Ca 3.22
Pb 0.2528 0.2528 0.2415  3 Ag 2.92, 3 Ca 3.22

---

Entry 4:
Compound: Sc2BeVI
Source: Alexandria
Functional: PBE
Structure: optimized geometry

- DOS(E_F) (states/eV per cell) = 5.46
- size of the total moment (μB per cell) = 0.0
- energy relative to the elements, uncorrected (eV per atom) = 0.659
- SG = No. 123

a b c (Å): 4.9888 4.5146 4.9888
angles (deg): 90.00 90.00 90.00
With the nearest neighbours (Å) after each atom.
Sites, in units of the cell vectors:
I 0.5000 0.5000 0.5000  8 Sc 3.36, 4 Be 3.53
Sc 0.0000 0.0000 0.5000  2 V 2.49
Sc 0.5000 0.0000 0.0000  2 V 2.49
Be 0.0000 0.5000 0.0000  2 V 2.26
V 0.0000 0.0000 0.0000  2 Be 2.26, 4 Sc 2.49

---

Entry 5:
Compound: Ca2NdGa4
Source: Alexandria
Functional: PBE
Structure: optimized geometry

- DOS(E_F) (states/eV per cell) = 5.33
- energy relative to the elements (kJ/mol of atoms) = -53.8
- size of the total moment (μB per cell) = 0.0
- SG = No. 71

a b c (Å): 4.3024 4.2341 9.9732
angles (deg): 102.26 102.46 90.00
With the nearest neighbours (Å) after each atom.
Sites, in units of the cell vectors:
Ca 0.8130 0.8130 0.6259  7 Ga 3.13-3.29
Ca 0.1870 0.1870 0.3741  7 Ga 3.13-3.29
Nd 0.5000 0.0000 0.0000  12 Ga 3.27-3.40
Ga 0.6397 0.6397 0.2795  2 Ga 2.57
Ga 0.3603 0.3603 0.7205  2 Ga 2.57
Ga 0.0655 0.5655 0.1311  3 Ga 2.49-2.57
Ga 0.9345 0.4345 0.8689  3 Ga 2.49-2.57

---

Entry 6:
Compound: NiMoPt4
Source: Alexandria
Functional: PBE
Structure: optimized geometry

- DOS(E_F) (states/eV per cell) = 11.94
- energy relative to the elements (kJ/mol of atoms) = -11.0
- size of the total moment (μB per cell) = 0.0
- distance to the lowest polymorph of the same formula (meV/atom) = 60
- SG = No. 15

a b c (Å): 5.1174 5.4371 7.1669
angles (deg): 67.71 90.03 90.09
With the nearest neighbours (Å) after each atom.
Sites, in units of the cell vectors:
Ni 0.7500 0.8499 0.3002  6 Pt 2.59-2.73, 2 Mo 2.72
Ni 0.2500 0.1501 0.6998  6 Pt 2.59-2.73, 2 Mo 2.72
Mo 0.7500 0.3523 0.2955  10 Pt 2.64-2.94, 2 Ni 2.72
Mo 0.2500 0.6477 0.7045  10 Pt 2.64-2.94, 2 Ni 2.72
Pt 0.2549 0.5631 0.3658  1 Ni 2.59, 1 Mo 2.64, 4 Pt 2.68-2.76
Pt 0.0011 0.7515 0.0021  6 Pt 2.56-2.75, 2 Mo 2.70-2.72, 2 Ni 2.72-2.73
Pt 0.7549 0.9289 0.6342  1 Ni 2.59, 1 Mo 2.64, 4 Pt 2.68-2.76
Pt 0.5011 0.7536 0.9979  6 Pt 2.56-2.75, 2 Mo 2.70-2.72, 2 Ni 2.72-2.73
Pt 0.7451 0.4369 0.6342  1 Ni 2.59, 1 Mo 2.64, 4 Pt 2.68-2.76
Pt 0.2451 0.0711 0.3658  1 Ni 2.59, 1 Mo 2.64, 4 Pt 2.68-2.76
Pt 0.9989 0.2485 0.9979  6 Pt 2.56-2.75, 2 Mo 2.70-2.72, 2 Ni 2.72-2.73
Pt 0.4989 0.2464 0.0021  6 Pt 2.56-2.75, 2 Mo 2.70-2.72, 2 Ni 2.72-2.73

---

Entry 7:
Compound: YFeS2N
Source: Alexandria
Functional: PBE
Structure: optimized geometry

- DOS(E_F) (states/eV per cell) = 3.62
- size of the total moment (μB per cell) = 0.2
- energy relative to the elements, uncorrected (eV per atom) = -0.684
- distance to the lowest polymorph of the same formula (meV/atom) = 0
- SG = No. 123

a b c (Å): 4.6951 4.6951 3.5064
angles (deg): 90.00 90.00 90.00
With the nearest neighbours (Å) after each atom.
Sites, in units of the cell vectors:
Y 0.5000 0.5000 0.5000  8 S 2.93
S 0.0000 0.5000 0.0000  2 Fe 2.35
S 0.5000 0.0000 0.0000  2 Fe 2.35
Fe 0.0000 0.0000 0.0000  2 N 1.75
N 0.0000 0.0000 0.5000  2 Fe 1.75

---

Entry 8:
Compound: BeTlW2
Source: Alexandria
Functional: PBE
Structure: optimized geometry

- DOS(E_F) (states/eV per cell) = 2.34
- energy relative to the elements (kJ/mol of atoms) = 50.3
- size of the total moment (μB per cell) = 0.0
- distance to the lowest polymorph of the same formula (meV/atom) = 0
- SG = No. 6

a b c (Å): 3.2425 3.1808 6.7105
angles (deg): 75.57 90.00 90.00
With the nearest neighbours (Å) after each atom.
Sites, in units of the cell vectors:
Be 0.0000 0.7097 0.4300  5 W 2.42-2.48, 2 Tl 2.56
Tl 0.5000 0.5891 0.7348  2 Be 2.56
W 0.0000 0.9120 0.0578  1 Be 2.42, 4 W 2.67-2.70
W 0.5000 0.2892 0.2775  4 Be 2.48, 4 W 2.67-2.70

---

Entry 9:
Compound: Sr2TlW
Source: Alexandria
Functional: PBE
Structure: optimized geometry

- DOS(E_F) (states/eV per cell) = 4.43
- energy relative to the elements (kJ/mol of atoms) = 69.0
- size of the total moment (μB per cell) = 0.0
- distance to the lowest polymorph of the same formula (meV/atom) = 0
- SG = No. 8

a b c (Å): 6.4435 6.4435 5.9594
angles (deg): 73.95 73.95 29.19
With the nearest neighbours (Å) after each atom.
Sites, in units of the cell vectors:
Sr 0.0307 0.0307 0.9330  2 Sr 3.25, 3 W 3.44-3.45, 4 Tl 3.48-3.50
Sr 0.2222 0.2222 0.3125  2 Sr 3.25, 3 Tl 3.40-3.51, 4 W 3.46-3.49
Tl 0.4616 0.4616 0.4767  2 W 2.90, 2 Tl 3.25
W 0.7855 0.7855 0.7778  2 Tl 2.90, 2 W 3.25

---

Entry 10:
Compound: La6TlGe
Source: Alexandria
Functional: PBE
Structure: optimized geometry

- DOS(E_F) (states/eV per cell) = 11.14
- energy relative to the elements (kJ/mol of atoms) = -30.8
- size of the total moment (μB per cell) = 0.0
- SG = No. 123

a b c (Å): 4.9926 4.9926 9.9355
angles (deg): 90.00 90.00 90.00
With the nearest neighbours (Å) after each atom.
Sites, in units of the cell vectors:
La 0.5000 0.5000 0.0000  4 Tl 3.53, 8 La 3.61
La 0.5000 0.5000 0.5000  8 La 3.44, 4 Ge 3.53
La 0.5000 0.0000 0.2624  8 La 3.44-3.61, 2 Ge 3.44, 2 Tl 3.61
La 0.5000 0.0000 0.7376  2 Ge 3.44, 8 La 3.44-3.61, 2 Tl 3.61
La 0.0000 0.5000 0.2624  8 La 3.44-3.61, 2 Ge 3.44, 2 Tl 3.61
La 0.0000 0.5000 0.7376  2 Ge 3.44, 8 La 3.44-3.61, 2 Tl 3.61
Tl 0.0000 0.0000 0.0000  12 La 3.53-3.61
Ge 0.0000 0.0000 0.5000  12 La 3.44-3.53

---

Entry 11:
Compound: Tb8Sm2Mg
Source: Alexandria
Functional: PBE
Structure: optimized geometry

- DOS(E_F) (states/eV per cell) = 15.50
- energy relative to the elements (kJ/mol of atoms) = 13.6
- size of the total moment (μB per cell) = 0.0
- distance to the lowest polymorph of the same formula (meV/atom) = 35
- SG = No. 12

a b c (Å): 6.7091 9.9888 9.9888
angles (deg): 38.84 59.63 59.63
With the nearest neighbours (Å) after each atom.
Sites, in units of the cell vectors:
Tb 0.7755 0.1800 0.6582  1 Mg 3.17, 6 Tb 3.18-3.53, 1 Sm 3.38
Tb 0.2245 0.3418 0.8200  1 Mg 3.17, 6 Tb 3.18-3.53, 1 Sm 3.38
Tb 0.8220 0.2450 0.2450  5 Tb 3.28-3.50, 4 Sm 3.42-3.62
Tb 0.1780 0.7550 0.7550  5 Tb 3.28-3.50, 4 Sm 3.42-3.62
Tb 0.7755 0.6582 0.1800  1 Mg 3.17, 6 Tb 3.18-3.53, 1 Sm 3.38
Tb 0.2245 0.8200 0.3418  1 Mg 3.17, 6 Tb 3.18-3.53, 1 Sm 3.38
Tb 0.2723 0.4050 0.4050  6 Tb 3.28-3.57
Tb 0.7277 0.5950 0.5950  6 Tb 3.28-3.57
Sm 0.4209 0.1858 0.1858  7 Tb 3.38-3.69, 1 Mg 3.57
Sm 0.5791 0.8142 0.8142  7 Tb 3.38-3.69, 1 Mg 3.57
Mg 0.0000 0.0000 0.0000  4 Tb 3.17

---

Entry 12:
Compound: NaHo2Tl
Source: Alexandria
Functional: PBE
Structure: optimized geometry

- DOS(E_F) (states/eV per cell) = 3.95
- energy relative to the elements (kJ/mol of atoms) = 2.4
- size of the total moment (μB per cell) = 0.0
- distance to the lowest polymorph of the same formula (meV/atom) = 60
- SG = No. 123

a b c (Å): 3.6270 3.6270 9.1928
angles (deg): 90.00 90.00 90.00
With the nearest neighbours (Å) after each atom.
Sites, in units of the cell vectors:
Na 0.5000 0.5000 0.5000  4 Na 3.63, 8 Ho 3.67
Tl 0.5000 0.5000 0.0000  8 Ho 3.24
Ho 0.0000 0.0000 0.7851  4 Tl 3.24
Ho 0.0000 0.0000 0.2149  4 Tl 3.24

---

Entry 13:
Compound: BaTe2PtN
Source: Alexandria
Functional: PBE
Structure: optimized geometry

- DOS(E_F) (states/eV per cell) = 2.74
- size of the total moment (μB per cell) = 0.0
- energy relative to the elements, uncorrected (eV per atom) = -0.271
- distance to the lowest polymorph of the same formula (meV/atom) = 0
- SG = No. 123

a b c (Å): 5.9875 3.7548 5.9875
angles (deg): 90.00 90.00 90.00
With the nearest neighbours (Å) after each atom.
Sites, in units of the cell vectors:
Te 0.0000 0.0000 0.5000  2 Pt 2.99
Te 0.5000 0.0000 0.0000  2 Pt 2.99
Ba 0.5000 0.5000 0.5000  8 Te 3.53, 2 Ba 3.75
Pt 0.0000 0.0000 0.0000  2 N 1.88
N 0.0000 0.5000 0.0000  2 Pt 1.88

---

Entry 14:
Compound: CaCoW2
Source: Alexandria
Functional: PBE
Structure: optimized geometry

- DOS(E_F) (states/eV per cell) = 3.79
- energy relative to the elements (kJ/mol of atoms) = 115.3
- size of the total moment (μB per cell) = 0.0
- distance to the lowest polymorph of the same formula (meV/atom) = 713
- SG = No. 225

a b c (Å): 4.4753 4.4753 4.4753
angles (deg): 60.00 60.00 60.00
With the nearest neighbours (Å) after each atom.
Sites, in units of the cell vectors:
Ca 0.0000 0.0000 0.0000  8 W 2.74
Co 0.5000 0.5000 0.5000  8 W 2.74
W 0.2500 0.2500 0.2500  4 Co 2.74, 4 Ca 2.74
W 0.7500 0.7500 0.7500  4 Co 2.74, 4 Ca 2.74

---

Entry 15:
Compound: MnSn2I6
Source: Alexandria
Functional: PBE
Structure: optimized geometry

- DOS(E_F) (states/eV per cell) = 0.00
- size of the total moment (μB per cell) = 5.0
- energy relative to the elements, uncorrected (eV per atom) = -0.481
- SG = No. 162

a b c (Å): 7.5432 7.7396 7.7396
angles (deg): 120.00 90.00 90.00
With the nearest neighbours (Å) after each atom.
Sites, in units of the cell vectors:
Mn 0.5000 0.0000 0.0000  6 I 2.94
Sn 0.5000 0.3333 0.6667  6 I 3.20
Sn 0.5000 0.6667 0.3333  6 I 3.20
I 0.2695 0.6940 0.0000  1 Mn 2.94, 2 Sn 3.20
I 0.2695 0.3060 0.3060  1 Mn 2.94, 2 Sn 3.20
I 0.2695 0.0000 0.6940  1 Mn 2.94, 2 Sn 3.20
I 0.7305 0.3060 0.0000  1 Mn 2.94, 2 Sn 3.20
I 0.7305 0.6940 0.6940  1 Mn 2.94, 2 Sn 3.20
I 0.7305 0.0000 0.3060  1 Mn 2.94, 2 Sn 3.20

---

Entry 16:
Compound: CsLi2ThS4
Source: Alexandria
Functional: PBE
Structure: optimized geometry

- DOS(E_F) (states/eV per cell) = 7.90
- size of the total moment (μB per cell) = 0.0
- energy relative to the elements, uncorrected (eV per atom) = -1.190
- SG = No. 121

a b c (Å): 7.0192 6.7426 6.7426
angles (deg): 62.77 58.63 58.63
With the nearest neighbours (Å) after each atom.
Sites, in units of the cell vectors:
Cs 0.0000 0.0000 0.0000  8 S 3.37-3.53
Li 0.2502 0.2498 0.2498  4 S 2.59
Li 0.7498 0.7502 0.7502  4 S 2.59
Th 0.5000 0.5000 0.5000  4 S 2.65
S 0.4786 0.1090 0.5215  2 Li 2.59, 1 Th 2.65
S 0.1091 0.8910 0.4785  2 Li 2.59, 1 Th 2.65
S 0.8909 0.5215 0.1090  2 Li 2.59, 1 Th 2.65
S 0.5214 0.4785 0.8910  2 Li 2.59, 1 Th 2.65

---

Entry 17:
Compound: TlInMo2
Source: Alexandria
Functional: PBE
Structure: optimized geometry

- DOS(E_F) (states/eV per cell) = 4.18
- energy relative to the elements (kJ/mol of atoms) = 72.0
- size of the total moment (μB per cell) = 0.0
- distance to the lowest polymorph of the same formula (meV/atom) = 420
- SG = No. 123

a b c (Å): 2.8941 2.8941 9.0704
angles (deg): 90.00 90.00 90.00
With the nearest neighbours (Å) after each atom.
Sites, in units of the cell vectors:
In 0.5000 0.5000 0.7500  4 In 2.89, 8 Mo 3.00
Mo 0.0000 0.0000 0.9922  4 Mo 2.89, 4 In 3.00, 4 Tl 3.11
Mo 0.0000 0.0000 0.5078  4 Mo 2.89, 4 In 3.00, 4 Tl 3.11
Tl 0.5000 0.5000 0.2500  4 Tl 2.89, 8 Mo 3.11

---

Entry 18:
Compound: ReSeO2F
Source: Alexandria
Functional: PBE
Structure: optimized geometry

- DOS(E_F) (states/eV per cell) = 6.41
- size of the total moment (μB per cell) = 0.0
- energy relative to the elements, uncorrected (eV per atom) = -0.511
- SG = No. 123

a b c (Å): 3.8585 3.8585 4.3948
angles (deg): 90.00 90.00 90.00
With the nearest neighbours (Å) after each atom.
Sites, in units of the cell vectors:
Re 0.0000 0.0000 0.0000  4 O 1.93
O 0.0000 0.5000 0.0000  2 Re 1.93
O 0.5000 0.0000 0.0000  2 Re 1.93
Se 0.5000 0.5000 0.5000  4 F 2.73, 8 O 2.92
F 0.0000 0.0000 0.5000  2 Re 2.20